The following is a DFT calculation (GGA-PBE) of an optimized crystal structure of PmMnPt4.

Values from the calculation:
- symmetry = Pmma, No. 51
- energy above the lowest structure with this stoichiometry (meV per atom) = 59
- ΔE_f (eV/atom) = -0.609

abc: 7.718 4.028 6.959
angles: 90.00 90.00 90.00
Element x y z (fractional)
Pm 0.250 0.000 0.149
Pm 0.750 0.000 0.851
Mn 0.250 0.000 0.730
Mn 0.750 0.000 0.270
Pt 0.000 0.000 0.500
Pt 0.048 0.500 0.814
Pt 0.250 0.500 0.471
Pt 0.452 0.500 0.814
Pt 0.500 0.000 0.500
Pt 0.548 0.500 0.186
Pt 0.750 0.500 0.529
Pt 0.952 0.500 0.186

=====

The following is a DFT calculation (GGA-PBE) of an optimized crystal structure of K2Pr2OsO6.

Values from the calculation:
- symmetry = C2/m, No. 12
- E_form (uncorrected) (eV/atom) = -2.018

abc: 6.020 6.020 6.616
angles: 97.15 97.15 119.70
Element x y z (fractional)
K 0.151 0.849 0.000
K 0.849 0.151 0.000
Pr 0.338 0.662 0.500
Pr 0.662 0.338 0.500
Os 0.000 0.000 0.500
O 0.039 0.338 0.670
O 0.243 0.243 0.318
O 0.338 0.039 0.670
O 0.662 0.961 0.330
O 0.757 0.757 0.682
O 0.961 0.662 0.330

=====

The following is a DFT calculation (GGA-PBE) of an optimized crystal structure of Pm2Pr2Sm4Ho.

Values from the calculation:
- symmetry = C2/m, No. 12
- ΔE_f (eV/atom) = 0.009

abc: 9.698 9.698 9.770
angles: 115.11 115.11 21.83
Element x y z (fractional)
Pm 0.147 0.147 0.165
Pm 0.853 0.853 0.835
Pr 0.335 0.335 0.500
Pr 0.665 0.665 0.500
Sm 0.185 0.185 0.834
Sm 0.481 0.481 0.169
Sm 0.519 0.519 0.831
Sm 0.815 0.815 0.166
Ho 0.000 0.000 0.500

=====

The following is a DFT calculation (GGA-PBE) of an optimized crystal structure of Ba6Ir2Br.

Values from the calculation:
- symmetry = R3, No. 146
- E_form (uncorrected) (eV/atom) = -0.447

abc: 8.833 8.833 8.833
angles: 53.97 53.97 53.97
Element x y z (fractional)
Ba 0.001 0.357 0.643
Ba 0.201 0.792 0.508
Ba 0.357 0.643 0.001
Ba 0.508 0.201 0.792
Ba 0.643 0.001 0.357
Ba 0.792 0.508 0.201
Ir 0.410 0.410 0.410
Ir 0.590 0.590 0.590
Br 0.083 0.083 0.083